An optimized crystal structure of Li2CoO2, computed with PBE with a Hubbard U.

## Properties
- symmetry = No. 164
- total DFT energy (no corrections) (eV/atom) = -5.275
- relative energy among the computed polymorphs (meV per atom) = 0

a = 3.160 Å, b = 3.160 Å, c = 5.128 Å
α = 90.00°, β = 90.00°, γ = 120.00°
Site moments in Bohr magnetons follow the coordinates.
Sites, in units of the cell vectors:
O  0.667  0.333  0.763  0.12
O  0.333  0.667  0.237  0.12
Li  0.667  0.333  0.358  0.01
Li  0.333  0.667  0.642  0.01
Co  0.000  0.000  0.000  2.70